The following is a GGA-PBE calculation of a geometry-optimized CdNF3 structure, from Alexandria via LeMat-Bulk.

Lattice parameters (Å, degrees): 3.937 3.937 3.937 90.00 90.00 90.00
Positions (direct):
Cd 0.500 0.500 0.500
F 0.500 0.000 0.000
F 0.000 0.000 0.500
N 0.000 0.000 0.000
F 0.000 0.500 0.000

## Properties
Spin magnetization (μB/f.u.): 1.43
Formation energy from raw total energies (eV/atom): -0.020
Polymorph energy (0 for the lowest one) (meV per atom): 531.9

The following is a GGA-PBE calculation of a geometry-optimized CdNF2 structure, from Alexandria via LeMat-Bulk.

Lattice parameters (Å, degrees): 3.738 3.738 7.718 75.99 75.99 90.00
Positions (direct):
N 0.250 0.750 0.500
Cd 0.000 0.000 0.000
F 0.142 0.625 0.250
F 0.875 0.858 0.750
F 0.608 0.125 0.250
F 0.375 0.392 0.750
Cd 0.750 0.250 0.500
N 0.500 0.500 0.000

## Properties
Spin magnetization (μB/f.u.): 1.09
Formation energy from raw total energies (eV/atom): 0.117
Polymorph energy (0 for the lowest one) (meV per atom): 411.3

The following is a GGA-PBE calculation of a geometry-optimized CdN2F2 structure, from Alexandria via LeMat-Bulk.

Lattice parameters (Å, degrees): 3.596 3.596 12.333 99.33 43.90 119.98
Positions (direct):
N 0.720 0.586 0.432
F 0.684 0.775 0.880
N 0.280 0.414 0.568
F 0.316 0.225 0.120
Cd 0.000 0.000 0.000

## Properties
Spin magnetization (μB/f.u.): 0.00
Formation energy from raw total energies (eV/atom): -1.271
Polymorph energy (0 for the lowest one) (meV per atom): 0.0

The following is a GGA-PBE calculation of a geometry-optimized CdNF2 structure, from Alexandria via LeMat-Bulk.

Lattice parameters (Å, degrees): 8.179 8.179 8.179 25.16 25.16 25.16
Positions (direct):
F 0.125 0.125 0.125
F 0.875 0.875 0.875
Cd 0.500 0.500 0.500
N 0.000 0.000 0.000

## Properties
Spin magnetization (μB/f.u.): 3.00
Formation energy from raw total energies (eV/atom): -0.291
Polymorph energy (0 for the lowest one) (meV per atom): 3.3

The following is a GGA-PBE calculation of a geometry-optimized CdNF3 structure, from Alexandria via LeMat-Bulk.

Lattice parameters (Å, degrees): 6.102 6.456 8.445 90.00 90.00 90.00
Positions (direct):
F 0.572 0.525 0.750
F 0.666 0.824 0.455
F 0.166 0.676 0.545
F 0.334 0.176 0.955
Cd 0.000 0.000 0.500
N 0.373 0.136 0.750
F 0.428 0.475 0.250
F 0.834 0.324 0.455
N 0.127 0.636 0.750
F 0.666 0.824 0.045
N 0.873 0.364 0.250
F 0.166 0.676 0.955
Cd 0.500 0.500 0.000
N 0.627 0.864 0.250
F 0.834 0.324 0.045
F 0.928 0.025 0.750
F 0.334 0.176 0.545
Cd 0.500 0.500 0.500
F 0.072 0.975 0.250
Cd 0.000 0.000 0.000

## Properties
Spin magnetization (μB/f.u.): 2.00
Formation energy from raw total energies (eV/atom): -0.552
Polymorph energy (0 for the lowest one) (meV per atom): 0.0

The following is a GGA-PBE calculation of a geometry-optimized CdN2F2 structure, from Alexandria via LeMat-Bulk.

Lattice parameters (Å, degrees): 4.345 4.345 5.135 90.00 90.00 90.00
Positions (direct):
N 0.000 0.000 0.500
F 0.500 0.000 0.000
Cd 0.000 0.000 0.000
N 0.500 0.500 0.500
F 0.000 0.500 0.000

## Properties
Spin magnetization (μB/f.u.): 6.06
Formation energy from raw total energies (eV/atom): 0.952
Polymorph energy (0 for the lowest one) (meV per atom): 2222.9

The following is a GGA-PBE calculation of a geometry-optimized CdN2F2 structure, from Alexandria via LeMat-Bulk.

Lattice parameters (Å, degrees): 3.605 3.605 4.782 90.00 90.00 90.00
Positions (direct):
F 0.000 0.000 0.000
N 0.500 0.000 0.000
N 0.000 0.500 0.000
F 0.000 0.000 0.500
Cd 0.500 0.500 0.500

## Properties
Spin magnetization (μB/f.u.): 2.17
Formation energy from raw total energies (eV/atom): 1.335
Polymorph energy (0 for the lowest one) (meV per atom): 2606.3

The following is a GGA-PBE calculation of a geometry-optimized CdN2F2 structure, from Alexandria via LeMat-Bulk.

Lattice parameters (Å, degrees): 6.064 6.064 4.200 90.00 90.00 90.00
Positions (direct):
N 0.699 0.199 0.500
Cd 0.000 0.000 0.000
F 0.317 0.817 0.000
Cd 0.500 0.500 0.000
N 0.199 0.301 0.500
N 0.301 0.801 0.500
F 0.183 0.317 0.000
F 0.683 0.183 0.000
F 0.817 0.683 0.000
N 0.801 0.699 0.500

## Properties
Spin magnetization (μB/f.u.): 4.24
Formation energy from raw total energies (eV/atom): 1.142
Polymorph energy (0 for the lowest one) (meV per atom): 2413.1

The following is a GGA-PBE calculation of a geometry-optimized CdNF2 structure, from Alexandria via LeMat-Bulk.

Lattice parameters (Å, degrees): 8.228 8.228 8.228 26.49 26.49 26.49
Positions (direct):
Cd 0.000 0.000 0.000
F 0.919 0.919 0.919
N 0.500 0.500 0.500
F 0.081 0.081 0.081

## Properties
Spin magnetization (μB/f.u.): 3.00
Formation energy from raw total energies (eV/atom): 0.367
Polymorph energy (0 for the lowest one) (meV per atom): 661.4

The following is a GGA-PBE calculation of a geometry-optimized CdN2F2 structure, from Alexandria via LeMat-Bulk.

Lattice parameters (Å, degrees): 4.475 4.475 4.272 90.00 90.00 90.00
Positions (direct):
F 0.000 0.000 0.500
N 0.500 0.000 0.000
Cd 0.000 0.000 0.000
F 0.500 0.500 0.500
N 0.000 0.500 0.000

## Properties
Spin magnetization (μB/f.u.): 5.33
Formation energy from raw total energies (eV/atom): 1.256
Polymorph energy (0 for the lowest one) (meV per atom): 2527.3

The following is a GGA-PBE calculation of a geometry-optimized CdNF3 structure, from Alexandria via LeMat-Bulk.

Lattice parameters (Å, degrees): 4.326 4.326 4.326 90.00 90.00 90.00
Positions (direct):
F 0.000 0.500 0.000
F 0.500 0.000 0.000
F 0.000 0.000 0.500
N 0.500 0.500 0.500
Cd 0.000 0.000 0.000

## Properties
Spin magnetization (μB/f.u.): 2.66
Formation energy from raw total energies (eV/atom): -0.206
Polymorph energy (0 for the lowest one) (meV per atom): 346.1

The following is a GGA-PBE calculation of a geometry-optimized CdNF2 structure, from Alexandria via LeMat-Bulk.

Lattice parameters (Å, degrees): 3.581 6.205 7.363 106.71 90.00 90.00
Positions (direct):
Cd 0.778 0.343 0.551
F 0.778 0.629 0.412
F 0.778 0.057 0.691
Cd 0.278 0.843 0.552
F 0.278 0.129 0.412
F 0.278 0.557 0.691
N 0.278 0.344 0.053
N 0.778 0.843 0.050

## Properties
Spin magnetization (μB/f.u.): 3.00
Formation energy from raw total energies (eV/atom): -0.294
Polymorph energy (0 for the lowest one) (meV per atom): 0.0

The following is a GGA-PBE calculation of a geometry-optimized CdN2F2 structure, from Alexandria via LeMat-Bulk.

Lattice parameters (Å, degrees): 2.699 2.699 9.323 81.68 81.68 90.00
Positions (direct):
N 0.750 0.250 0.500
F 0.428 0.428 0.144
F 0.572 0.572 0.856
Cd 0.000 0.000 0.000
N 0.250 0.750 0.500

## Properties
Spin magnetization (μB/f.u.): 0.00
Formation energy from raw total energies (eV/atom): 0.462
Polymorph energy (0 for the lowest one) (meV per atom): 1733.1

The following is a GGA-PBE calculation of a geometry-optimized CdNF2 structure, from Alexandria via LeMat-Bulk.

Lattice parameters (Å, degrees): 4.098 4.098 4.098 60.00 60.00 60.00
Positions (direct):
F 0.250 0.250 0.250
N 0.000 0.000 0.000
F 0.750 0.750 0.750
Cd 0.500 0.500 0.500

## Properties
Spin magnetization (μB/f.u.): 3.00
Formation energy from raw total energies (eV/atom): -0.116
Polymorph energy (0 for the lowest one) (meV per atom): 178.4

The following is a GGA-PBE calculation of a geometry-optimized NaCdN2F structure, from Alexandria via LeMat-Bulk.

Lattice parameters (Å, degrees): 4.444 4.444 3.995 90.00 90.00 90.00
Positions (direct):
N 0.000 0.500 0.000
Cd 0.500 0.500 0.500
Na 0.000 0.000 0.000
F 0.000 0.000 0.500
N 0.500 0.000 0.000

## Properties
Spin magnetization (μB/f.u.): 4.01
Formation energy from raw total energies (eV/atom): 1.033
Polymorph energy (0 for the lowest one) (meV per atom): 449.4

The following is a GGA-PBE calculation of a geometry-optimized NaCdN2F structure, from Alexandria via LeMat-Bulk.

Lattice parameters (Å, degrees): 4.332 4.332 4.692 90.00 90.00 90.00
Positions (direct):
N 0.000 0.500 0.000
Cd 0.000 0.000 0.000
N 0.500 0.000 0.000
F 0.000 0.000 0.500
Na 0.500 0.500 0.500

## Properties
Spin magnetization (μB/f.u.): 3.50
Formation energy from raw total energies (eV/atom): 0.584
Polymorph energy (0 for the lowest one) (meV per atom): 0.0

The following is a GGA-PBE calculation of a geometry-optimized NbCdN2F structure, from Alexandria via LeMat-Bulk.

Lattice parameters (Å, degrees): 4.156 4.156 4.080 90.00 90.00 90.00
Positions (direct):
Nb 0.500 0.500 0.500
N 0.500 0.000 0.000
N 0.000 0.500 0.000
F 0.000 0.000 0.500
Cd 0.000 0.000 0.000

## Properties
Spin magnetization (μB/f.u.): 1.25
Formation energy from raw total energies (eV/atom): 1.096
Polymorph energy (0 for the lowest one) (meV per atom): 1588.8

The following is a GGA-PBE calculation of a geometry-optimized NbCdN2F structure, from Alexandria via LeMat-Bulk.

Lattice parameters (Å, degrees): 4.125 4.125 4.101 90.00 90.00 90.00
Positions (direct):
Cd 0.500 0.500 0.500
F 0.000 0.000 0.500
Nb 0.000 0.000 0.000
N 0.000 0.500 0.000
N 0.500 0.000 0.000

## Properties
Spin magnetization (μB/f.u.): 0.21
Formation energy from raw total energies (eV/atom): -0.493
Polymorph energy (0 for the lowest one) (meV per atom): 0.0